<1>
Below is a relaxed RbNa2Cu crystal, with properties calculated at the GGA-PBE level.

```
8
Lattice="4.9909 0.0000 0.0000 0.0000 4.9909 0.0000 2.4955 2.4955 11.9372" Properties=species:S:1:pos:R:3 pbc="T T T"
Na 1.5036 3.7432 2.9843
Na 6.2387 5.9828 8.9529
Na 3.4873 1.2477 2.9843
Na 3.7432 3.9991 8.9529
Cu 2.4955 2.4955 0.0000
Cu 2.4955 4.9909 5.9686
Rb 4.9909 2.4955 5.9686
Rb 0.0000 0.0000 0.0000
```

Output
- N(E_F) (states/eV per atom) = 0.378
- spin magnetization (μB per formula unit) = 0.0
- symmetry = I-42d (122)



<2>
Below is a relaxed RbNa2Cu crystal, with properties calculated at the GGA-PBE level.

```
4
Lattice="-2.5338 -3.2357 -3.9865 -5.1322 1.4873 -2.0569 -0.4830 1.9280 -5.3695" Properties=species:S:1:pos:R:3 pbc="T T T"
Cu 0.0000 0.0000 0.0000
Na -6.1117 0.1347 -8.5597
Na -2.0372 0.0449 -2.8532
Rb -4.0745 0.0898 -5.7065
```

Output
- N(E_F) (states/eV per atom) = 0.440
- spin magnetization (μB per formula unit) = 0.0
- symmetry = Fm-3m (225)



Most stable to least stable, the ends of the list are <2> and <1>.



<1>
Below is a relaxed RbNaCu crystal, with properties calculated at the GGA-PBE level.

```
6
Lattice="6.9220 0.0000 -0.0047 0.0000 4.3210 0.0000 -1.2219 0.0000 7.7993" Properties=species:S:1:pos:R:3 pbc="T T T"
Cu 5.9471 2.1605 4.7053
Cu -0.0201 0.0000 4.2069
Na 0.3234 2.1605 2.0703
Na 5.6150 0.0000 6.8404
Rb 3.8205 0.0000 2.7224
Rb 2.1227 2.1605 6.1556
```

Output
- N(E_F) (states/eV per atom) = 0.312
- spin magnetization (μB per formula unit) = 0.0
- symmetry = Pm (6)



<2>
Below is a relaxed RbNaCu crystal, with properties calculated at the GGA-PBE level.

```
6
Lattice="-3.3896 0.2154 2.6548 -2.5101 -6.6511 0.6400 4.6054 -1.6567 6.0662" Properties=species:S:1:pos:R:3 pbc="T T T"
Rb -2.7534 -5.5763 3.6171
Rb -2.4411 -7.3736 7.6822
Na 2.3106 -4.1836 6.6037
Na -2.0928 -2.2408 4.3151
Cu 0.5050 -3.8207 4.2446
Cu -0.7137 -4.2846 6.2293
```

Output
- N(E_F) (states/eV per atom) = 0.329
- spin magnetization (μB per formula unit) = 0.0
- symmetry = P1 (1)



Most stable to least stable, the ends of the list are <1> and <2>.



<1>
Below is a relaxed Rb2Na2Cu crystal, with properties calculated at the GGA-PBE level.

```
10
Lattice="-0.3750 -8.8864 0.9078 7.9194 0.0896 4.1483 -3.1237 0.7394 5.9473" Properties=species:S:1:pos:R:3 pbc="T T T"
Na 3.5170 -0.8904 5.7978
Na 4.9397 -5.3154 7.0952
Na 0.9037 -7.1670 5.2056
Na -0.5189 -2.7420 3.9082
Rb 1.0878 -5.9303 1.3086
Rb 2.5576 -1.4726 1.5264
Rb 4.9868 -7.3243 3.5298
Rb 6.4565 -2.8666 3.7475
Cu 0.0000 0.0000 0.0000
Cu 3.7722 -4.3984 2.5281
```

Output
- N(E_F) (states/eV per atom) = 0.903
- spin magnetization (μB per formula unit) = 0.0
- symmetry = P4/mbm (127)



<2>
Below is a relaxed Rb2Na2Cu crystal, with properties calculated at the GGA-PBE level.

```
10
Lattice="-4.2232 -2.9249 -6.4175 -2.4283 -6.4197 4.5239 -5.2365 3.3372 1.9250" Properties=species:S:1:pos:R:3 pbc="T T T"
Cu 0.0000 0.0000 0.0000
Cu -3.3257 -4.6723 -0.9468
Na -1.4909 -2.6709 0.5747
Na -3.1373 -2.9034 -3.5008
Na -3.5142 -6.4412 1.6071
Na -5.1605 -6.6736 -2.4684
Rb -7.4978 -5.5522 0.2071
Rb -6.7969 -2.6978 -2.8347
Rb -5.0910 -3.3095 2.8661
Rb -4.3902 -0.4552 -0.1758
```

Output
- N(E_F) (states/eV per atom) = 0.492
- spin magnetization (μB per formula unit) = 0.0
- symmetry = P4/mbm (127)



Most stable to least stable, the ends of the list are <2> and <1>.



<1>
Below is a relaxed RbNa2Cu2 crystal, with properties calculated at the GGA-PBE level.

```
10
Lattice="8.4883 0.0000 0.0000 0.0000 8.4883 0.0000 0.0000 0.0000 3.9979" Properties=species:S:1:pos:R:3 pbc="T T T"
Na 1.3548 5.5989 1.9989
Na 5.5989 7.1336 1.9989
Na 2.8894 1.3548 1.9989
Na 7.1336 2.8894 1.9989
Rb 0.0000 0.0000 0.0000
Rb 4.2442 4.2442 0.0000
Cu 7.6130 5.1195 0.0000
Cu 3.3688 7.6130 0.0000
Cu 0.8753 3.3688 0.0000
Cu 5.1195 0.8753 0.0000
```

Output
- N(E_F) (states/eV per atom) = 0.472
- spin magnetization (μB per formula unit) = 0.0
- symmetry = P4/mbm (127)



<2>
Below is a relaxed RbNa2Cu2 crystal, with properties calculated at the GGA-PBE level.

```
5
Lattice="-2.9321 -1.2271 -3.6484 -3.2930 -1.5751 3.1763 -5.7056 4.3333 -0.0807" Properties=species:S:1:pos:R:3 pbc="T T T"
Na -5.8752 0.8526 -1.9826
Na -6.0556 0.6786 1.4298
Cu -8.3221 1.8352 -0.3465
Cu -3.6086 -0.3041 -0.2063
Rb 0.0000 0.0000 0.0000
```

Output
- N(E_F) (states/eV per atom) = 0.486
- spin magnetization (μB per formula unit) = 0.0
- symmetry = I4/mmm (139)



Most stable to least stable, the ends of the list are <2> and <1>.